# CaPrTi2O6 | Alexandria via LeMat-Bulk | GGA-PBEsol | optimized geometry
# Crystal system = orthorhombic
# E = -0.3227 Ha/atom
# E_form (uncorrected) = -3.236 eV/atom
# Total magnetization = 0.0 μB/cell
# Density of states at the Fermi level = 0.290 states/eV/atom
data_CaPrTi2O6
_space_group_name_H-M_alt 'P m n 21'
_space_group_IT_number 31
_cell_length_a 7.720
_cell_length_b 5.511
_cell_length_c 5.418
_cell_angle_alpha 90.00
_cell_angle_beta 90.00
_cell_angle_gamma 90.00
loop_
_space_group_symop_operation_xyz
'x,y,z'
'-x+1/2,-y,z+1/2'
'-x,y,z'
'x+1/2,-y,z+1/2'
loop_
_atom_site_label
_atom_site_type_symbol
_atom_site_fract_x
_atom_site_fract_y
_atom_site_fract_z
Ca1 Ca 0.000 0.205 0.000
Pr1 Pr 0.000 0.707 0.484
Ti1 Ti 0.249 0.248 0.491
O1 O 0.000 0.266 0.569
O2 O 0.000 0.770 0.920
O3 O 0.209 0.459 0.199
O4 O 0.212 0.961 0.282

***

# InSi4Br | Alexandria via LeMat-Bulk | GGA-PBEsol | optimized geometry
# Crystal system = cubic
# E = -0.1551 Ha/atom
# E_form (uncorrected) = 0.419 eV/atom
# Total magnetization = 0.0 μB/cell
# Density of states at the Fermi level = 0.603 states/eV/atom
data_InSi4Br
_space_group_name_H-M_alt 'F -4 3 m'
_space_group_IT_number 216
_space_group_name_Hall 'F -4 2 3'
_cell_length_a 7.604
_cell_length_b 7.604
_cell_length_c 7.604
_cell_angle_alpha 90.00
_cell_angle_beta 90.00
_cell_angle_gamma 90.00
loop_
_atom_site_label
_atom_site_type_symbol
_atom_site_fract_x
_atom_site_fract_y
_atom_site_fract_z
In1 In 0.000 0.000 0.000
Si1 Si 0.125 0.125 0.625
Br1 Br 0.250 0.250 0.250

***

# ScGa5Co | Alexandria via LeMat-Bulk | GGA-PBEsol | optimized geometry
# ΔE_f = -3.6 eV/f.u.
# Crystal system = tetragonal
# E = -0.1816 Ha/atom
# Total magnetization = 0.0 μB/cell
# Density of states at the Fermi level = 0.292 states/eV/atom
data_ScGa5Co
_space_group_name_H-M_alt 'P 4/m m m'
_space_group_IT_number 123
_space_group_name_Hall '-P 4 2'
_cell_length_a 4.073
_cell_length_b 4.073
_cell_length_c 6.529
_cell_angle_alpha 90.00
_cell_angle_beta 90.00
_cell_angle_gamma 90.00
loop_
_atom_site_label
_atom_site_type_symbol
_atom_site_fract_x
_atom_site_fract_y
_atom_site_fract_z
Sc1 Sc 0.000 0.000 0.000
Ga1 Ga 0.000 0.500 0.303
Ga2 Ga 0.500 0.500 0.000
Co1 Co 0.000 0.000 0.500

***

# TlCuRh2 | Alexandria via LeMat-Bulk | GGA-PBEsol | optimized geometry
# ΔE_f = 0.9 eV/f.u.
# Crystal system = orthorhombic
# E = -0.2057 Ha/atom
# Total magnetization = 0.0 μB/cell
# Density of states at the Fermi level = 1.004 states/eV/atom
data_TlCuRh2
_space_group_name_H-M_alt 'P m m 2'
_space_group_IT_number 25
_cell_length_a 2.845
_cell_length_b 3.693
_cell_length_c 5.736
_cell_angle_alpha 90.00
_cell_angle_beta 90.00
_cell_angle_gamma 90.00
loop_
_space_group_symop_operation_xyz
'x,y,z'
'-x,-y,z'
'-x,y,z'
'x,-y,z'
loop_
_atom_site_label
_atom_site_type_symbol
_atom_site_fract_x
_atom_site_fract_y
_atom_site_fract_z
Tl1 Tl 0.000 0.000 0.000
Cu1 Cu 0.500 0.500 0.275
Rh1 Rh 0.000 0.000 0.487
Rh2 Rh 0.500 0.500 0.723

***

# K2TlPt | Alexandria via LeMat-Bulk | GGA-PBEsol | optimized geometry
# ΔE_f = 0.7 eV/f.u.
# Crystal system = orthorhombic
# E = -0.1022 Ha/atom
# Total magnetization = 0.0 μB/cell
# Density of states at the Fermi level = 0.477 states/eV/atom
data_K2TlPt
_space_group_name_H-M_alt 'I m m m'
_space_group_IT_number 71
_space_group_name_Hall '-I 2 2'
_cell_length_a 4.508
_cell_length_b 4.534
_cell_length_c 10.275
_cell_angle_alpha 90.00
_cell_angle_beta 90.00
_cell_angle_gamma 90.00
loop_
_atom_site_label
_atom_site_type_symbol
_atom_site_fract_x
_atom_site_fract_y
_atom_site_fract_z
K1 K 0.000 0.000 0.249
Tl1 Tl 0.000 0.500 0.000
Pt1 Pt 0.000 0.500 0.500

***

# Cs3NaH | Alexandria via LeMat-Bulk | GGA-PBEsol | optimized geometry
# Crystal system = cubic
# E = -0.0566 Ha/atom
# Total magnetization = 0.0 μB/cell
# Density of states at the Fermi level = 0.776 states/eV/atom
data_Cs3NaH
_space_group_name_H-M_alt 'P m -3 m'
_space_group_IT_number 221
_space_group_name_Hall '-P 4 2 3'
_cell_length_a 6.427
_cell_length_b 6.427
_cell_length_c 6.427
_cell_angle_alpha 90.00
_cell_angle_beta 90.00
_cell_angle_gamma 90.00
loop_
_atom_site_label
_atom_site_type_symbol
_atom_site_fract_x
_atom_site_fract_y
_atom_site_fract_z
Cs1 Cs 0.000 0.000 0.500
Na1 Na 0.500 0.500 0.500
H1 H 0.000 0.000 0.000

***

# TaMo5 | Alexandria via LeMat-Bulk | GGA-PBEsol | optimized geometry
# ΔE_f = -0.4 eV/f.u.
# Crystal system = monoclinic
# E = -0.4396 Ha/atom
# Total magnetization = 0.0 μB/cell
# Density of states at the Fermi level = 0.474 states/eV/atom
data_TaMo5
_space_group_name_H-M_alt 'P 1 2/m 1'
_space_group_IT_number 10
_cell_length_a 2.741
_cell_length_b 4.437
_cell_length_c 7.705
_cell_angle_alpha 90.00
_cell_angle_beta 90.02
_cell_angle_gamma 90.00
loop_
_space_group_symop_operation_xyz
'x,y,z'
'-x,-y,-z'
'-x,y,-z'
'x,-y,z'
loop_
_atom_site_label
_atom_site_type_symbol
_atom_site_fract_x
_atom_site_fract_y
_atom_site_fract_z
Ta1 Ta 0.000 0.000 0.000
Mo1 Mo 0.000 0.500 0.500
Mo2 Mo 0.336 0.500 0.829
Mo3 Mo 0.338 0.000 0.337

***

# FeTe2W | Alexandria via LeMat-Bulk | GGA-PBEsol | optimized geometry
# Crystal system = tetragonal
# E = -0.2512 Ha/atom
# E_form (uncorrected) = 0.619 eV/atom
# Total magnetization = 1.3 μB/cell
# Density of states at the Fermi level = 0.829 states/eV/atom
data_FeTe2W
_space_group_name_H-M_alt 'P 4/m m m'
_space_group_IT_number 123
_space_group_name_Hall '-P 4 2'
_cell_length_a 4.587
_cell_length_b 4.587
_cell_length_c 3.292
_cell_angle_alpha 90.00
_cell_angle_beta 90.00
_cell_angle_gamma 90.00
loop_
_atom_site_label
_atom_site_type_symbol
_atom_site_fract_x
_atom_site_fract_y
_atom_site_fract_z
Fe1 Fe 0.000 0.000 0.000
Te1 Te 0.000 0.500 0.500
W1 W 0.500 0.500 0.000

***

# La3YSb3 | Alexandria via LeMat-Bulk | GGA-PBEsol | optimized geometry
# Crystal system = monoclinic
# E = -0.2331 Ha/atom
# E_form (uncorrected) = -1.124 eV/atom
# Total magnetization = 0.0 μB/cell
# Density of states at the Fermi level = 1.061 states/eV/atom
data_La3YSb3
_space_group_name_H-M_alt 'C 1 2 1'
_space_group_IT_number 5
_cell_length_a 13.292
_cell_length_b 9.445
_cell_length_c 9.426
_cell_angle_alpha 90.00
_cell_angle_beta 134.70
_cell_angle_gamma 90.00
loop_
_space_group_symop_operation_xyz
'x,y,z'
'-x,y,-z'
'x+1/2,y+1/2,z'
'-x+1/2,y+1/2,-z'
loop_
_atom_site_label
_atom_site_type_symbol
_atom_site_fract_x
_atom_site_fract_y
_atom_site_fract_z
La1 La 0.066 0.000 0.389
La2 La 0.175 0.390 0.748
La3 La 0.177 0.242 0.101
Y1 Y 0.071 0.639 0.253
Sb1 Sb 0.000 0.695 0.500
Sb2 Sb 0.000 0.931 0.000
Sb3 Sb 0.132 0.323 0.379
Sb4 Sb 0.238 0.570 0.120

***

# LiB3I | Alexandria via LeMat-Bulk | GGA-PBEsol | optimized geometry
# Crystal system = cubic
# E = -0.1040 Ha/atom
# E_form (uncorrected) = 2.127 eV/atom
# Total magnetization = 0.0 μB/cell
# Density of states at the Fermi level = 0.372 states/eV/atom
data_LiB3I
_space_group_name_H-M_alt 'P m -3 m'
_space_group_IT_number 221
_space_group_name_Hall '-P 4 2 3'
_cell_length_a 4.135
_cell_length_b 4.135
_cell_length_c 4.135
_cell_angle_alpha 90.00
_cell_angle_beta 90.00
_cell_angle_gamma 90.00
loop_
_atom_site_label
_atom_site_type_symbol
_atom_site_fract_x
_atom_site_fract_y
_atom_site_fract_z
Li1 Li 0.000 0.000 0.000
B1 B 0.000 0.000 0.500
I1 I 0.500 0.500 0.500

***

# BaBe3Hg | Alexandria via LeMat-Bulk | GGA-PBEsol | optimized geometry
# ΔE_f = 2.4 eV/f.u.
# Crystal system = cubic
# E = -0.0907 Ha/atom
# Total magnetization = 0.0 μB/cell
# Density of states at the Fermi level = 0.207 states/eV/atom
data_BaBe3Hg
_space_group_name_H-M_alt 'P m -3 m'
_space_group_IT_number 221
_space_group_name_Hall '-P 4 2 3'
_cell_length_a 4.612
_cell_length_b 4.612
_cell_length_c 4.612
_cell_angle_alpha 90.00
_cell_angle_beta 90.00
_cell_angle_gamma 90.00
loop_
_atom_site_label
_atom_site_type_symbol
_atom_site_fract_x
_atom_site_fract_y
_atom_site_fract_z
Ba1 Ba 0.000 0.000 0.000
Be1 Be 0.000 0.500 0.500
Hg1 Hg 0.500 0.500 0.500

***

# LiMg4V3O12 | Alexandria via LeMat-Bulk | GGA-PBEsol | optimized geometry
# Crystal system = tetragonal
# E = -0.2797 Ha/atom
# E_form (uncorrected) = -2.574 eV/atom
# Total magnetization = 0.0 μB/cell
# Density of states at the Fermi level = 0.000 states/eV/atom
data_LiMg4V3O12
_space_group_name_H-M_alt 'I -4 2 d'
_space_group_IT_number 122
_space_group_name_Hall 'I -4 2bw'
_cell_length_a 6.858
_cell_length_b 6.858
_cell_length_c 18.821
_cell_angle_alpha 90.00
_cell_angle_beta 90.00
_cell_angle_gamma 90.00
loop_
_atom_site_label
_atom_site_type_symbol
_atom_site_fract_x
_atom_site_fract_y
_atom_site_fract_z
Li1 Li 0.000 0.000 0.000
Mg1 Mg 0.000 0.000 0.275
Mg2 Mg 0.243 0.250 0.625
V1 V 0.000 0.000 0.500
V2 V 0.149 0.750 0.125
O1 O 0.011 0.212 0.195
O2 O 0.042 0.228 0.352
O3 O 0.052 0.209 0.546

***

> Number 4 is which compound?

TlCuRh2

***

> Number 9 is which compound?

La3YSb3

***

> Which value of total magnetization does entry 4 give?

0.0 μB/cell